[1]
# GGA-PBE LiScZnSi, optimized geometry
data_LiScZnSi
_cell_length_a 6.399
_cell_length_b 6.399
_cell_length_c 6.399
_cell_angle_alpha 90.00
_cell_angle_beta 90.00
_cell_angle_gamma 90.00
_space_group_name_H-M_alt 'F -4 3 m'
_space_group_IT_number 216
_space_group_name_Hall 'F -4 2 3'
loop_
_atom_site_label
_atom_site_type_symbol
_atom_site_fract_x
_atom_site_fract_y
_atom_site_fract_z
Li1 Li 0.000 0.000 0.000
Sc1 Sc 0.000 0.000 0.500
Zn1 Zn 0.250 0.250 0.750
Si1 Si 0.250 0.250 0.250
# Final energy: -4.098 eV/atom
# Magnetic moment: 0.00 μB/cell
# Raw formation energy: -0.362 eV per atom

---

[2]
# GGA-PBE RbZn3Te, optimized geometry
data_RbZn3Te
_cell_length_a 6.472
_cell_length_b 6.472
_cell_length_c 6.472
_cell_angle_alpha 90.00
_cell_angle_beta 90.00
_cell_angle_gamma 90.00
_space_group_name_H-M_alt 'P m -3 m'
_space_group_IT_number 221
_space_group_name_Hall '-P 4 2 3'
loop_
_atom_site_label
_atom_site_type_symbol
_atom_site_fract_x
_atom_site_fract_y
_atom_site_fract_z
Rb1 Rb 0.000 0.000 0.000
Zn1 Zn 0.000 0.000 0.500
Te1 Te 0.500 0.500 0.500
# Final energy: -0.797 eV/atom
# Energy above the lowest structure with this stoichiometry: 476 meV/atom
# Magnetic moment: 1.00 μB/cell
# Raw formation energy: 0.789 eV per atom

---

[3]
# GGA-PBE ScTe2As, optimized geometry
data_ScTe2As
_cell_length_a 5.893
_cell_length_b 5.893
_cell_length_c 6.232
_cell_angle_alpha 90.00
_cell_angle_beta 90.00
_cell_angle_gamma 90.00
_space_group_name_H-M_alt 'I 4/m m m'
_space_group_IT_number 139
_space_group_name_Hall '-I 4 2'
loop_
_atom_site_label
_atom_site_type_symbol
_atom_site_fract_x
_atom_site_fract_y
_atom_site_fract_z
Sc1 Sc 0.000 0.000 0.000
Te1 Te 0.000 0.500 0.000
As1 As 0.000 0.000 0.500
# Final energy: -4.716 eV/atom
# Magnetic moment: 0.00 μB/cell
# Raw formation energy: -0.400 eV per atom

---

[4]
# GGA-PBE Pm2DyCdC, optimized geometry
data_Pm2DyCdC
_cell_length_a 5.125
_cell_length_b 5.125
_cell_length_c 4.873
_cell_angle_alpha 90.00
_cell_angle_beta 90.00
_cell_angle_gamma 90.00
_space_group_name_H-M_alt 'P 4/m m m'
_space_group_IT_number 123
_space_group_name_Hall '-P 4 2'
loop_
_atom_site_label
_atom_site_type_symbol
_atom_site_fract_x
_atom_site_fract_y
_atom_site_fract_z
Pm1 Pm 0.000 0.500 0.000
Dy1 Dy 0.000 0.000 0.500
Cd1 Cd 0.500 0.500 0.500
C1 C 0.000 0.000 0.000
# Final energy: -5.070 eV/atom
# Magnetic moment: 0.00 μB/cell
# E_form: -0.222 eV/atom

---

[5]
# GGA-PBE MnMo2Ru, optimized geometry
data_MnMo2Ru
_cell_length_a 3.123
_cell_length_b 4.371
_cell_length_c 8.607
_cell_angle_alpha 90.00
_cell_angle_beta 90.00
_cell_angle_gamma 90.00
_space_group_name_H-M_alt 'I m m 2'
_space_group_IT_number 44
_space_group_name_Hall 'I 2 -2'
loop_
_atom_site_label
_atom_site_type_symbol
_atom_site_fract_x
_atom_site_fract_y
_atom_site_fract_z
Mn1 Mn 0.000 0.000 0.000
Mo1 Mo 0.000 0.000 0.487
Mo2 Mo 0.000 0.500 0.744
Ru1 Ru 0.000 0.500 0.243
# Final energy: -9.870 eV/atom
# Energy above the lowest structure with this stoichiometry: 88 meV/atom
# Magnetic moment: 4.83 μB/cell
# E_form: 0.156 eV/atom